# PuC2O8F | the Alexandria database | PBE | optimized geometry
# D(E_F) in states/eV/f.u.: 6.34
# Raw total energy in eV/atom: -7.542
# Energy relative to the elements, uncorrected in eV/f.u.: -16.19
data_PuC2O8F
_space_group_name_H-M_alt 'C 1 2/m 1'
_space_group_IT_number 12
_space_group_name_Hall '-C 2y'
_cell_length_a 11.6762
_cell_length_b 6.4069
_cell_length_c 4.6356
_cell_angle_alpha 90.00
_cell_angle_beta 94.94
_cell_angle_gamma 90.00
loop_
_atom_site_label
_atom_site_fract_x
_atom_site_fract_y
_atom_site_fract_z
Pu1 0.0000 0.0000 0.0000
C1 0.1061 0.5000 0.3166
O1 0.0625 0.3272 0.2181
O2 0.1474 0.0000 0.9541
O3 0.1859 0.5000 0.5147
F1 0.0000 0.0000 0.5000

---

# RbCOF2 | the Alexandria database | PBE | optimized geometry
# D(E_F) in states/eV/f.u.: 7.90
# Raw total energy in eV/atom: -2.383
# Energy relative to the elements, uncorrected in eV/f.u.: 6.98
data_RbCOF2
_space_group_name_H-M_alt 'P 4/m m m'
_space_group_IT_number 123
_space_group_name_Hall '-P 4 2'
_cell_length_a 4.8011
_cell_length_b 4.8011
_cell_length_c 4.4755
_cell_angle_alpha 90.00
_cell_angle_beta 90.00
_cell_angle_gamma 90.00
loop_
_atom_site_label
_atom_site_fract_x
_atom_site_fract_y
_atom_site_fract_z
Rb1 0.0000 0.0000 0.0000
C1 0.5000 0.5000 0.5000
O1 0.0000 0.0000 0.5000
F1 0.0000 0.5000 0.0000

---

# RbCOF2 | the Alexandria database | PBE | optimized geometry
# D(E_F) in states/eV/f.u.: 0.51
# Raw total energy in eV/atom: -4.317
# Energy relative to the elements, uncorrected in eV/f.u.: -2.69
data_RbCOF2
_space_group_name_H-M_alt 'P 4/m m m'
_space_group_IT_number 123
_space_group_name_Hall '-P 4 2'
_cell_length_a 4.5574
_cell_length_b 4.5574
_cell_length_c 3.0240
_cell_angle_alpha 90.00
_cell_angle_beta 90.00
_cell_angle_gamma 90.00
loop_
_atom_site_label
_atom_site_fract_x
_atom_site_fract_y
_atom_site_fract_z
Rb1 0.0000 0.0000 0.0000
C1 0.5000 0.5000 0.5000
O1 0.5000 0.5000 0.0000
F1 0.0000 0.5000 0.5000

---

# RbCOF3 | the Alexandria database | PBE | optimized geometry
# D(E_F) in states/eV/f.u.: 0.00
# Raw total energy in eV/atom: -5.454
# Energy relative to the elements, uncorrected in eV/f.u.: -11.96
data_RbCOF3
_space_group_name_H-M_alt 'P 1 21/c 1'
_space_group_IT_number 14
_space_group_name_Hall '-P 2ybc'
_cell_length_a 5.7983
_cell_length_b 7.5099
_cell_length_c 9.1069
_cell_angle_alpha 90.00
_cell_angle_beta 90.89
_cell_angle_gamma 90.00
loop_
_atom_site_label
_atom_site_fract_x
_atom_site_fract_y
_atom_site_fract_z
Rb1 0.2311 0.1591 0.1766
C1 0.2361 0.7057 0.0710
O1 0.0609 0.7039 0.5871
F1 0.2625 0.6174 0.9340
F2 0.2745 0.5644 0.1756
F3 0.4561 0.6983 0.5837

---

# RbSrCO3F | the Alexandria database | PBE | optimized geometry
# D(E_F) in states/eV/f.u.: 0.00
# Raw total energy in eV/atom: -6.515
# Energy relative to the elements, uncorrected in eV/f.u.: -16.98
data_RbSrCO3F
_space_group_name_H-M_alt 'P -6 m 2'
_space_group_IT_number 187
_space_group_name_Hall 'P -6 2'
_cell_length_a 5.3703
_cell_length_b 5.3703
_cell_length_c 4.8455
_cell_angle_alpha 90.00
_cell_angle_beta 90.00
_cell_angle_gamma 120.00
loop_
_atom_site_label
_atom_site_fract_x
_atom_site_fract_y
_atom_site_fract_z
Rb1 0.0000 0.0000 0.0000
Sr1 0.3333 0.6667 0.5000
C1 0.6667 0.3333 0.5000
O1 0.3866 0.1933 0.5000
F1 0.3333 0.6667 0.0000

---

# RuC4O4F6 | the Alexandria database | PBE | optimized geometry
# D(E_F) in states/eV/f.u.: 1.19
# Raw total energy in eV/atom: -6.443
# Energy relative to the elements, uncorrected in eV/f.u.: -19.42
data_RuC4O4F6
_space_group_name_H-M_alt 'P -1'
_space_group_IT_number 2
_space_group_name_Hall '-P 1'
_cell_length_a 5.3498
_cell_length_b 8.9060
_cell_length_c 9.2702
_cell_angle_alpha 82.32
_cell_angle_beta 84.19
_cell_angle_gamma 87.46
loop_
_atom_site_label
_atom_site_fract_x
_atom_site_fract_y
_atom_site_fract_z
Ru1 0.1793 0.4653 0.0567
C1 0.0417 0.2486 0.8761
C2 0.0720 0.1058 0.7965
C3 0.2731 0.6379 0.7666
C4 0.4310 0.7134 0.6289
O1 0.0376 0.6408 0.7653
O2 0.1457 0.6638 0.1523
O3 0.2097 0.2679 0.9586
O4 0.3949 0.5762 0.8728
F1 0.1529 0.9477 0.2222
F2 0.1996 0.1415 0.6625
F3 0.2049 0.9932 0.8718
F4 0.2849 0.7654 0.5219
F5 0.3981 0.3898 0.4214
F6 0.4424 0.1695 0.3373